# HfMoW2

A relaxed structure of HfMoW2 (PBE-GGA, Alexandria).

Cell and atoms, written as POSCAR:
```
HfMoW2
1.0
-2.747 -1.186 -1.158
1.303 -0.161 -2.927
2.127 -6.184 1.288
Mo Hf W
1 1 2
Cartesian
-0.722 -0.674 -2.042 Mo
0.342 -3.766 -1.398 Hf
0.495 -1.440 0.300 W
1.632 -4.744 0.988 W
```

Fermi-level density of states   2.443 states/eV per cell
Calculated total energy   -11.66 eV per atom
Magnetic moment   0.00 μB per atom
Symmetry   P4/mmm
Calculated volume   17.150 Å³ per atom
Energy of formation   0.008 eV per atom